Entry from the Alexandria database: crystalline RbIn2I3 at its relaxed geometry (PBE).

Unit cell a=7.1717 b=7.1718 c=11.3593 alpha=90.00 beta=108.37 gamma=90.00
Space group C2 (No. 5)
One atom of each set of equivalent atoms:
Rb 0.0000 0.0000 0.0000 x2
In 0.1673 0.4993 0.3354 x4
I 0.0000 0.5000 0.0000 x2
I 0.1723 0.9992 0.3442 x4

## Properties
- Formation energy from raw total energies: -0.795 eV/atom
- Total magnetization: 0.00 μB/cell
- Polymorph energy (0 for the lowest one): 0.000 eV per atom
- D(E_F): 0.00 states/eV per atom